This record from Alexandria via LeMat-Bulk describes a relaxed structure of La5Sm. The functional is PBE.

Cell and atoms, written as CIF:
```
data_La5Sm
_symmetry_space_group_name_H-M 'C m m m'
_symmetry_Int_Tables_number 65
_symmetry_space_group_name_Hall '-C 2 2'
_cell_length_a 5.245
_cell_length_b 15.729
_cell_length_c 5.249
_cell_angle_alpha 90.00
_cell_angle_beta 90.00
_cell_angle_gamma 90.00
loop_
_atom_site_label
_atom_site_type_symbol
_atom_site_fract_x
_atom_site_fract_y
_atom_site_fract_z
La1 La 0.000 0.000 0.000
La2 La 0.000 0.166 0.500
La3 La 0.000 0.333 0.000
Sm1 Sm 0.000 0.500 0.500
```

Computed properties:
Energy of formation from the pure elements   11 meV per atom
ρ   6.480 g/cm3

This record from Alexandria via LeMat-Bulk describes a relaxed structure of La7Sm. The functional is PBE.

Cell and atoms, written as CIF:
```
data_La7Sm
_symmetry_space_group_name_H-M 'F m -3 m'
_symmetry_Int_Tables_number 225
_symmetry_space_group_name_Hall '-F 4 2 3'
_cell_length_a 10.536
_cell_length_b 10.536
_cell_length_c 10.536
_cell_angle_alpha 90.00
_cell_angle_beta 90.00
_cell_angle_gamma 90.00
loop_
_atom_site_label
_atom_site_type_symbol
_atom_site_fract_x
_atom_site_fract_y
_atom_site_fract_z
La1 La 0.000 0.000 0.000
La2 La 0.000 0.250 0.250
Sm1 Sm 0.000 0.000 0.500
```

Computed properties:
Energy of formation from the pure elements   11 meV per atom
ρ   6.375 g/cm3

This record from Alexandria via LeMat-Bulk describes a relaxed structure of LaSm5. The functional is PBE.

Cell and atoms, written as CIF:
```
data_LaSm5
_symmetry_space_group_name_H-M 'C 1 2/m 1'
_symmetry_Int_Tables_number 12
_cell_length_a 11.554
_cell_length_b 5.170
_cell_length_c 7.297
_cell_angle_alpha 90.00
_cell_angle_beta 108.38
_cell_angle_gamma 90.00
loop_
_symmetry_equiv_pos_as_xyz
'x,y,z'
'-x,-y,-z'
'-x,y,-z'
'x,-y,z'
'x+1/2,y+1/2,z'
'-x+1/2,-y+1/2,-z'
'-x+1/2,y+1/2,-z'
'x+1/2,-y+1/2,z'
loop_
_atom_site_label
_atom_site_type_symbol
_atom_site_fract_x
_atom_site_fract_y
_atom_site_fract_z
La1 La 0.000 0.000 0.000
Sm1 Sm 0.000 0.000 0.500
Sm2 Sm 0.166 0.500 0.832
Sm3 Sm 0.168 0.500 0.335
```

Computed properties:
Energy of formation from the pure elements   19 meV per atom
ρ   7.152 g/cm3

This record from Alexandria via LeMat-Bulk describes a relaxed structure of La3Sm5. The functional is PBE.

Cell and atoms, written as CIF:
```
data_La3Sm5
_symmetry_space_group_name_H-M 'P 4/m m m'
_symmetry_Int_Tables_number 123
_symmetry_space_group_name_Hall '-P 4 2'
_cell_length_a 3.686
_cell_length_b 3.686
_cell_length_c 20.670
_cell_angle_alpha 90.00
_cell_angle_beta 90.00
_cell_angle_gamma 90.00
loop_
_atom_site_label
_atom_site_type_symbol
_atom_site_fract_x
_atom_site_fract_y
_atom_site_fract_z
La1 La 0.000 0.000 0.000
La2 La 0.500 0.500 0.375
Sm1 Sm 0.000 0.000 0.248
Sm2 Sm 0.000 0.000 0.500
Sm3 Sm 0.500 0.500 0.126
```

Computed properties:
Offset from the most stable computed form   0.0 kJ/mol of atoms
Energy of formation from the pure elements   21 meV per atom
ρ   6.908 g/cm3

This record from Alexandria via LeMat-Bulk describes a relaxed structure of LaSm2. The functional is PBE.

Cell and atoms, written as CIF:
```
data_LaSm2
_symmetry_space_group_name_H-M 'C m c m'
_symmetry_Int_Tables_number 63
_symmetry_space_group_name_Hall '-C 2c 2'
_cell_length_a 11.182
_cell_length_b 6.431
_cell_length_c 5.899
_cell_angle_alpha 90.00
_cell_angle_beta 90.00
_cell_angle_gamma 90.00
loop_
_atom_site_label
_atom_site_type_symbol
_atom_site_fract_x
_atom_site_fract_y
_atom_site_fract_z
La1 La 0.000 0.169 0.250
Sm1 Sm 0.168 0.334 0.750
```

Computed properties:
Offset from the most stable computed form   1.1 kJ/mol of atoms
Energy of formation from the pure elements   33 meV per atom
ρ   6.884 g/cm3

This record from Alexandria via LeMat-Bulk describes a relaxed structure of LaSm5Sn5. The functional is PBE.

Cell and atoms, written as CIF:
```
data_LaSm5Sn5
_symmetry_space_group_name_H-M 'C 1 2/m 1'
_symmetry_Int_Tables_number 12
_cell_length_a 14.434
_cell_length_b 6.331
_cell_length_c 8.709
_cell_angle_alpha 90.00
_cell_angle_beta 107.21
_cell_angle_gamma 90.00
loop_
_symmetry_equiv_pos_as_xyz
'x,y,z'
'-x,-y,-z'
'-x,y,-z'
'x,-y,z'
'x+1/2,y+1/2,z'
'-x+1/2,-y+1/2,-z'
'-x+1/2,y+1/2,-z'
'x+1/2,-y+1/2,z'
loop_
_atom_site_label
_atom_site_type_symbol
_atom_site_fract_x
_atom_site_fract_y
_atom_site_fract_z
La1 La 0.000 0.000 0.000
Sm1 Sm 0.000 0.000 0.500
Sm2 Sm 0.164 0.500 0.334
Sm3 Sm 0.171 0.500 0.839
Sn1 Sn 0.000 0.500 0.000
Sn2 Sn 0.166 0.000 0.822
Sn3 Sn 0.167 0.000 0.341
```

Computed properties:
Energy of formation from the pure elements   -470 meV per atom
ρ   6.484 g/cm3

This record from Alexandria via LeMat-Bulk describes a relaxed structure of LaSmSn. The functional is PBE.

Cell and atoms, written as CIF:
```
data_LaSmSn
_symmetry_space_group_name_H-M 'P 3 m 1'
_symmetry_Int_Tables_number 156
_cell_length_a 5.2340
_cell_length_b 5.2340
_cell_length_c 3.9785
_cell_angle_alpha 90.00
_cell_angle_beta 90.00
_cell_angle_gamma 120.00
loop_
_symmetry_equiv_pos_as_xyz
'x,y,z'
'-y,x-y,z'
'-x+y,-x,z'
'-y,-x,z'
'-x+y,y,z'
'x,x-y,z'
loop_
_atom_site_label
_atom_site_type_symbol
_atom_site_fract_x
_atom_site_fract_y
_atom_site_fract_z
La1 La 0.0000 0.0000 0.0000
Sm1 Sm 0.3333 0.6667 0.5724
Sn1 Sn 0.6667 0.3333 0.3528
```

Computed properties:
Offset from the most stable computed form   21.5 kJ/mol of atoms
Energy of formation from the pure elements   -401 meV per atom
ρ   7.177 g/cm3

This record from Alexandria via LeMat-Bulk describes a relaxed structure of La14SmSn. The functional is PBE.

Cell and atoms, written as CIF:
```
data_La14SmSn
_symmetry_space_group_name_H-M 'A m m 2'
_symmetry_Int_Tables_number 38
_cell_length_a 10.404
_cell_length_b 10.369
_cell_length_c 10.369
_cell_angle_alpha 90.00
_cell_angle_beta 90.00
_cell_angle_gamma 90.00
loop_
_symmetry_equiv_pos_as_xyz
'x,y,z'
'-x,-y,z'
'-x,y,z'
'x,-y,z'
'x,y+1/2,z+1/2'
'-x,-y+1/2,z+1/2'
'-x,y+1/2,z+1/2'
'x,-y+1/2,z+1/2'
loop_
_atom_site_label
_atom_site_type_symbol
_atom_site_fract_x
_atom_site_fract_y
_atom_site_fract_z
La1 La 0.000 0.000 0.000
La2 La 0.000 0.000 0.499
La3 La 0.000 0.250 0.250
La4 La 0.257 0.000 0.758
La5 La 0.258 0.000 0.241
La6 La 0.258 0.241 0.000
La7 La 0.500 0.250 0.250
Sm1 Sm 0.500 0.000 0.500
Sn1 Sn 0.500 0.000 0.000
```

Computed properties:
Energy of formation from the pure elements   -100 meV per atom
ρ   6.572 g/cm3

This record from Alexandria via LeMat-Bulk describes a relaxed structure of La3Sm5Sn12. The functional is PBE.

Cell and atoms, written as CIF:
```
data_La3Sm5Sn12
_symmetry_space_group_name_H-M 'I a -3 d'
_symmetry_Int_Tables_number 230
_symmetry_space_group_name_Hall '-I 4bd 2c 3'
_cell_length_a 18.276
_cell_length_b 18.276
_cell_length_c 18.276
_cell_angle_alpha 90.00
_cell_angle_beta 90.00
_cell_angle_gamma 90.00
loop_
_atom_site_label
_atom_site_type_symbol
_atom_site_fract_x
_atom_site_fract_y
_atom_site_fract_z
La1 La 0.000 0.250 0.125
Sm1 Sm 0.000 0.000 0.000
Sm2 Sm 0.000 0.250 0.375
Sn1 Sn 0.001 0.077 0.656
```

Computed properties:
Energy of formation from the pure elements   -111 meV per atom
ρ   5.643 g/cm3

This record from Alexandria via LeMat-Bulk describes a relaxed structure of La2SmSn. The functional is PBE.

Cell and atoms, written as CIF:
```
data_La2SmSn
_symmetry_space_group_name_H-M 'R 3 m'
_symmetry_Int_Tables_number 160
_symmetry_space_group_name_Hall 'R 3 -2"'
_cell_length_a 3.7192
_cell_length_b 3.7192
_cell_length_c 33.8168
_cell_angle_alpha 90.00
_cell_angle_beta 90.00
_cell_angle_gamma 120.00
loop_
_atom_site_label
_atom_site_type_symbol
_atom_site_fract_x
_atom_site_fract_y
_atom_site_fract_z
La1 La 0.0000 0.0000 0.0000
La2 La 0.0000 0.0000 0.1771
Sm1 Sm 0.0000 0.0000 0.4225
Sn1 Sn 0.0000 0.0000 0.5881
```

Computed properties:
Offset from the most stable computed form   26.3 kJ/mol of atoms
Energy of formation from the pure elements   -199 meV per atom
ρ   6.725 g/cm3

This record from Alexandria via LeMat-Bulk describes a relaxed structure of La2SmSn. The functional is PBE.

Cell and atoms, written as CIF:
```
data_La2SmSn
_symmetry_space_group_name_H-M 'R -3 m'
_symmetry_Int_Tables_number 166
_symmetry_space_group_name_Hall '-R 3 2"'
_cell_length_a 3.6260
_cell_length_b 3.6260
_cell_length_c 37.3424
_cell_angle_alpha 90.00
_cell_angle_beta 90.00
_cell_angle_gamma 120.00
loop_
_atom_site_label
_atom_site_type_symbol
_atom_site_fract_x
_atom_site_fract_y
_atom_site_fract_z
La1 La 0.0000 0.0000 0.0873
Sm1 Sm 0.0000 0.0000 0.5000
Sn1 Sn 0.0000 0.0000 0.0000
```

Computed properties:
Offset from the most stable computed form   52.4 kJ/mol of atoms
Energy of formation from the pure elements   71 meV per atom
ρ   6.407 g/cm3

This record from Alexandria via LeMat-Bulk describes a relaxed structure of La8Sm2Sn. The functional is PBE.

Cell and atoms, written as CIF:
```
data_La8Sm2Sn
_symmetry_space_group_name_H-M 'C 1 2/m 1'
_symmetry_Int_Tables_number 12
_cell_length_a 18.840
_cell_length_b 5.048
_cell_length_c 8.289
_cell_angle_alpha 90.00
_cell_angle_beta 105.67
_cell_angle_gamma 90.00
loop_
_symmetry_equiv_pos_as_xyz
'x,y,z'
'-x,-y,-z'
'-x,y,-z'
'x,-y,z'
'x+1/2,y+1/2,z'
'-x+1/2,-y+1/2,-z'
'-x+1/2,y+1/2,-z'
'x+1/2,-y+1/2,z'
loop_
_atom_site_label
_atom_site_type_symbol
_atom_site_fract_x
_atom_site_fract_y
_atom_site_fract_z
La1 La 0.044 0.000 0.240
La2 La 0.090 0.500 0.943
La3 La 0.134 0.000 0.677
La4 La 0.175 0.500 0.411
Sm1 Sm 0.227 0.000 0.136
Sn1 Sn 0.000 0.500 0.500
```

Computed properties:
Energy of formation from the pure elements   -134 meV per atom
ρ   6.698 g/cm3